Record 1
# PBE-GGA Li2BeRe, optimized geometry
data_Li2BeRe
_cell_length_a 2.4698
_cell_length_b 4.4502
_cell_length_c 4.7082
_cell_angle_alpha 90.00
_cell_angle_beta 90.00
_cell_angle_gamma 90.00
_symmetry_space_group_name_H-M 'P m m m'
_symmetry_Int_Tables_number 47
loop_
_symmetry_equiv_pos_as_xyz
'x,y,z'
'-x,-y,-z'
'-x,-y,z'
'x,y,-z'
'x,-y,-z'
'-x,y,z'
'-x,y,-z'
'x,-y,z'
loop_
_atom_site_label
_atom_site_type_symbol
_atom_site_fract_x
_atom_site_fract_y
_atom_site_fract_z
_atom_site_occupancy
Li1 Li 0.0000 0.0000 0.2458 1
Be1 Be 0.5000 0.5000 0.5000 1
Re1 Re 0.5000 0.5000 0.0000 1
# * total magnetization: 0.00 Bohr magnetons per cell
# * ΔE_f: 1.484 eV/f.u.



Record 2
# PBE-GGA Na2Ga5Au12, optimized geometry
data_Na2Ga5Au12
_cell_length_a 9.5314
_cell_length_b 9.5314
_cell_length_c 14.2013
_cell_angle_alpha 90.00
_cell_angle_beta 90.00
_cell_angle_gamma 120.00
_symmetry_space_group_name_H-M 'R -3 m'
_symmetry_Int_Tables_number 166
_symmetry_space_group_name_Hall '-R 3 2"'
loop_
_atom_site_label
_atom_site_type_symbol
_atom_site_fract_x
_atom_site_fract_y
_atom_site_fract_z
_atom_site_occupancy
Na1 Na 0.0000 0.0000 0.1393 1
Ga1 Ga 0.0000 0.0000 0.4133 1
Ga2 Ga 0.0000 0.5000 0.0000 1
Au1 Au 0.0000 0.3285 0.5000 1
Au2 Au 0.0277 0.5138 0.3371 1
# * total magnetization: 0.00 Bohr magnetons per cell
# * ΔE_f: -3.415 eV/f.u.



Record 3
# PBE-GGA Zr4Sb, optimized geometry
data_Zr4Sb
_cell_length_a 7.3305
_cell_length_b 7.3305
_cell_length_c 4.2459
_cell_angle_alpha 90.00
_cell_angle_beta 90.00
_cell_angle_gamma 90.00
_symmetry_space_group_name_H-M 'I 4/m'
_symmetry_Int_Tables_number 87
_symmetry_space_group_name_Hall '-I 4'
loop_
_atom_site_label
_atom_site_type_symbol
_atom_site_fract_x
_atom_site_fract_y
_atom_site_fract_z
_atom_site_occupancy
Zr1 Zr 0.1103 0.6955 0.0000 1
Sb1 Sb 0.0000 0.0000 0.5000 1
# * total magnetization: 0.00 Bohr magnetons per cell
# * energy relative to the elements, uncorrected: -0.2878 eV per atom
# * polymorph energy (0 for the lowest one): 0.0 meV per atom